Record 1
VIn2Ga | GGA-PBE | relaxed

POSCAR file:
```
VIn2Ga
1.0
1.505 0.869 11.240
-1.505 0.869 11.240
0.000 -1.738 11.240
V In Ga
1 2 1
direct
0.000 0.000 0.000
0.084 0.084 0.084
0.916 0.916 0.916
0.500 0.500 0.500
```

Computed properties:
DOS(E_F) (states/eV/f.u.): 3.639
Formation enthalpy at 0 K (kcal/mol of atoms): 13.1
Symmetry: R-3m, No. 166
E_tot (eV for the cell shown): -15.35


Record 2
NdEr2Au | GGA-PBE | relaxed

POSCAR file:
```
NdEr2Au
1.0
2.465 -6.021 0.000
2.465 6.021 0.000
0.000 0.000 7.756
Nd Er Au
2 4 2
direct
0.048 0.952 0.750
0.952 0.048 0.250
0.354 0.646 0.536
0.354 0.646 0.964
0.646 0.354 0.036
0.646 0.354 0.464
0.205 0.795 0.250
0.795 0.205 0.750
```

Computed properties:
DOS(E_F) (states/eV/f.u.): 5.671
Formation enthalpy at 0 K (kcal/mol of atoms): -9.7
Symmetry: Cmcm, No. 63
Excess energy over the best structure of this formula in the dataset (meV/atom): 0
E_tot (eV for the cell shown): -37.69


Record 3
EuInAu | GGA-PBE | relaxed

POSCAR file:
```
EuInAu
1.0
4.858 0.000 0.000
-2.429 4.207 0.000
0.000 0.000 3.861
Eu In Au
1 1 1
direct
0.000 0.000 0.000
0.667 0.333 0.500
0.333 0.667 0.500
```

Computed properties:
DOS(E_F) (states/eV/f.u.): 8.939
Formation enthalpy at 0 K (kcal/mol of atoms): -14.7
Symmetry: P-6m2, No. 187
E_tot (eV for the cell shown): -18.21


Record 4
CaAg2Au | GGA-PBE | relaxed

POSCAR file:
```
CaAg2Au
1.0
3.709 0.000 0.000
0.000 3.709 0.000
0.000 0.000 6.126
Ca Ag Au
1 2 1
direct
0.000 0.000 0.000
0.500 0.500 0.272
0.500 0.500 0.728
0.000 0.000 0.500
```

Computed properties:
DOS(E_F) (states/eV/f.u.): 1.474
Formation enthalpy at 0 K (kcal/mol of atoms): -5.5
Symmetry: P4/mmm, No. 123
E_tot (eV for the cell shown): -11.94


Record 5
SrBICl2 | GGA-PBE | relaxed

POSCAR file:
```
SrBICl2
1.0
5.492 0.000 0.000
0.000 5.492 0.000
0.000 0.000 6.753
Sr B I Cl
1 1 1 2
direct
0.000 0.000 0.000
0.500 0.500 0.500
0.000 0.000 0.500
0.000 0.500 0.000
0.500 0.000 0.000
```

Computed properties:
DOS(E_F) (states/eV/f.u.): 0.000
Symmetry: P4/mmm, No. 123
E_tot (eV for the cell shown): -14.96
Formation energy (no corrections) (eV per formula unit): -1.36


Record 6
MnRe2Sb | GGA-PBE | relaxed

POSCAR file:
```
MnRe2Sb
1.0
1.466 0.847 8.550
-1.466 0.847 8.550
0.000 -1.693 8.550
Mn Re Sb
1 2 1
direct
0.000 0.000 0.000
0.256 0.256 0.256
0.508 0.508 0.508
0.750 0.750 0.750
```

Computed properties:
DOS(E_F) (states/eV/f.u.): 4.216
Symmetry: R3m, No. 160
E_tot (eV for the cell shown): -36.34
Formation energy (no corrections) (eV per formula unit): 1.85


Record 7
Tb4DySc6 | GGA-PBE | relaxed

POSCAR file:
```
Tb4DySc6
1.0
-3.181 3.181 7.863
3.181 -3.181 7.863
3.181 3.181 -7.863
Tb Dy Sc
4 1 6
direct
0.128 0.128 0.616
0.488 0.872 0.000
0.512 0.512 0.384
0.872 0.488 0.000
0.500 0.500 0.000
0.000 0.500 0.500
0.058 0.715 0.000
0.285 0.285 0.343
0.500 0.000 0.500
0.715 0.058 0.000
0.942 0.942 0.657
```

Computed properties:
DOS(E_F) (states/eV/f.u.): 14.723
Formation enthalpy at 0 K (kcal/mol of atoms): 6.8
Symmetry: I-42m, No. 121
E_tot (eV for the cell shown): -57.89


Record 8
MnBiS2Cl | GGA-PBE | relaxed

POSCAR file:
```
MnBiS2Cl
1.0
4.594 0.000 0.000
0.000 4.594 0.000
0.000 0.000 4.560
Mn Bi S Cl
1 1 2 1
direct
0.000 0.000 0.000
0.500 0.500 0.500
0.000 0.500 0.000
0.500 0.000 0.000
0.000 0.000 0.500
```

Computed properties:
DOS(E_F) (states/eV/f.u.): 7.656
Symmetry: P4/mmm, No. 123
Excess energy over the best structure of this formula in the dataset (meV/atom): 638
E_tot (eV for the cell shown): -23.06
Formation energy (no corrections) (eV per formula unit): 0.10


- Which of these has the lowest E_tot?
  Tb4DySc6


- E_tot of number 2 (NdEr2Au)?
  -37.69 eV for the cell shown